[1]
Li4W | PBE | optimized geometry

Cell: 5.1601 5.1601 5.1601 Å, 90.00 90.00 90.00°
Space group Pm-3m (No. 221)
Unique sites:
Li (0.0000, 0.0000, 0.0000) (multiplicity 1)
Li (0.0000, 0.5000, 0.5000) (multiplicity 3)
W (0.5000, 0.5000, 0.5000) (multiplicity 1)

Output
Its calculated density is 2.56 Mg/m³. Its total energy is -0.1029 hartree per atom. For the total magnetization, the calculation gives 4.46 μB per formula unit. The energy relative to the elements comes out at 1.32 eV/atom. The density of states at the Fermi level is 3.094 states/eV/f.u. The relative energy among the computed polymorphs is 857 meV per atom.

[2]
Y12Ni6Bi | PBE | optimized geometry

Cell: 9.8007 9.8007 9.8007 Å, 90.00 90.00 90.00°
Space group Im-3 (No. 204)
Unique sites:
Y (0.0000, 0.3065, 0.1887) (multiplicity 24)
Ni (0.0000, 0.1224, 0.5000) (multiplicity 12)
Bi (0.0000, 0.0000, 0.0000) (multiplicity 2)

Output
Its calculated density is 5.74 Mg/m³. Its total energy is -0.2392 hartree per atom. For the total magnetization, the calculation gives 0.00 μB per formula unit. The energy relative to the elements comes out at -0.40 eV/atom. The density of states at the Fermi level is 22.829 states/eV/f.u.

[3]
Zr2BeN | PBE | optimized geometry

Cell: 6.2703 6.2703 6.5406 Å, 90.00 90.00 90.00°
Space group I-42d (No. 122)
Unique sites:
Zr (0.1939, 0.2500, 0.1250) (multiplicity 8)
Be (0.0000, 0.0000, 0.5000) (multiplicity 4)
N (0.0000, 0.0000, 0.0000) (multiplicity 4)

Output
Its calculated density is 5.31 Mg/m³. Its total energy is -0.2822 hartree per atom. For the total magnetization, the calculation gives 0.00 μB per formula unit. The density of states at the Fermi level is 2.506 states/eV/f.u. The value obtained for the uncorrected formation energy is -0.3913 eV/atom. The relative energy among the computed polymorphs is 518 meV per atom.

[4]
La2Sm3In3 | PBE | optimized geometry

Cell: 9.5266 9.5266 6.4817 Å, 90.00 90.00 120.00°
Space group P6_3/mcm (No. 193)
Unique sites:
La (0.3333, 0.6667, 0.0000) (multiplicity 4)
Sm (0.0000, 0.2323, 0.2500) (multiplicity 6)
In (0.0000, 0.3910, 0.7500) (multiplicity 6)

Output
Its calculated density is 7.00 Mg/m³. Its total energy is -0.1605 hartree per atom. For the total magnetization, the calculation gives 0.00 μB per formula unit. The energy relative to the elements comes out at -0.34 eV/atom. The density of states at the Fermi level is 10.133 states/eV/f.u. The relative energy among the computed polymorphs is 23 meV per atom.

[5]
SmS8 | PBE | optimized geometry

Cell: 10.5417 10.5417 4.4302 Å, 90.00 90.00 90.00°
Space group I4/mmm (No. 139)
Unique sites:
Sm (0.0000, 0.0000, 0.0000) (multiplicity 2)
S (0.0000, 0.4029, 0.0000) (multiplicity 8)
S (0.1181, 0.1181, 0.5000) (multiplicity 8)

Output
Its calculated density is 2.74 Mg/m³. Its total energy is -0.1476 hartree per atom. For the total magnetization, the calculation gives 0.42 μB per formula unit. The density of states at the Fermi level is 10.617 states/eV/f.u. The value obtained for the uncorrected formation energy is 0.1782 eV/atom.

Look up the calculated density of the fifth one. 2.74 Mg/m³

total magnetization of number 3 (Zr2BeN)? 0.00 μB per formula unit

Please write out number 3 again, unchanged.
Zr2BeN | PBE | optimized geometry

Cell: 6.2703 6.2703 6.5406 Å, 90.00 90.00 90.00°
Space group I-42d (No. 122)
Unique sites:
Zr (0.1939, 0.2500, 0.1250) (multiplicity 8)
Be (0.0000, 0.0000, 0.5000) (multiplicity 4)
N (0.0000, 0.0000, 0.0000) (multiplicity 4)

Output
Its calculated density is 5.31 Mg/m³. Its total energy is -0.2822 hartree per atom. For the total magnetization, the calculation gives 0.00 μB per formula unit. The density of states at the Fermi level is 2.506 states/eV/f.u. The value obtained for the uncorrected formation energy is -0.3913 eV/atom. The relative energy among the computed polymorphs is 518 meV per atom.